CsNbFeTePd | the Alexandria database | PBE-GGA | optimized geometry; energy relative to the elements, uncorrected = -1.4 kcal/mol of atoms; total magnetization = 3.4 Bohr magnetons per cell; space-group type = Cm (8); total DFT energy (no corrections) = -56.043 eV per cell; distance to the lowest polymorph of the same formula = 0 meV/atom
1.0
-7.137 2.402 -5.065
-2.492 -0.077 3.475
3.050 6.352 2.327
Fe Nb Pd Te Cs
2 2 2 2 2
direct
0.145 0.000 0.938
0.145 0.500 0.438
0.033 0.000 0.233
0.033 0.500 0.733
0.199 0.000 0.622
0.199 0.500 0.122
0.846 0.500 0.338
0.846 0.000 0.838
0.513 0.000 0.395
0.513 0.500 0.895